# 1
Computed, not measured: a relaxed structure of Cd7In2Pb2 at the PBE level of DFT.

a = 11.0453 Å, b = 10.2769 Å, c = 5.8623 Å
α = 90.00°, β = 121.52°, γ = 90.00°
Closest atoms and distances in Å follow each position.
Space group C2/m (No. 12)
Asymmetric unit:
Cd1 0.0000 0.0000 0.0000 x2  6 Cd 2.98-3.11
Cd2 0.1738 0.2425 0.1641 x8  5 Cd 2.98-3.27, 1 In 3.11, 1 Pb 3.22
Cd3 0.2151 0.5000 0.4514 x4  5 Cd 3.04-3.15, 3 In 3.05-3.13
In1 0.1105 0.5000 0.8412 x4  5 Cd 3.05-3.13
Pb1 0.0000 0.1627 0.5000 x4  10 Cd 3.22-3.49, 1 Pb 3.34

Results
ΔH_f (0 K) = 0.035 eV per atom



# 2
Computed, not measured: a relaxed structure of CdIn6Pb3 at the PBE level of DFT.

a = 6.0092 Å, b = 6.0092 Å, c = 9.5606 Å
α = 90.00°, β = 90.00°, γ = 120.00°
Closest atoms and distances in Å follow each position.
Space group P-31m (No. 162)
Asymmetric unit:
Cd1 0.0000 0.0000 0.0000 x1  6 In 2.96
In1 0.0000 0.3795 0.8022 x6  1 Cd 2.96, 4 In 3.26
Pb1 0.0000 0.0000 0.5000 x1  6 Pb 3.47, 6 In 3.68
Pb2 0.3333 0.6667 0.5000 x2  6 In 3.45, 6 Pb 3.47

Results
E above lowest polymorph = 0.29 eV/f.u.
ΔH_f (0 K) = 0.081 eV per atom



# 3
Computed, not measured: a relaxed structure of Cd3In2Pb3 at the PBE level of DFT.

a = 9.2290 Å, b = 9.2290 Å, c = 9.2281 Å
α = 90.00°, β = 90.00°, γ = 120.00°
Closest atoms and distances in Å follow each position.
Space group R32 (No. 155, hexagonal axes)
Asymmetric unit:
Cd1 0.0000 0.2914 0.0000 x9  2 Pb 3.08, 2 Cd 3.15, 2 In 3.23
In1 0.0000 0.0000 0.1935 x6  6 Cd 3.23-3.53, 3 Pb 3.53, 1 In 3.57
Pb1 0.0000 0.7720 0.5000 x9  2 Cd 3.08

Results
E above lowest polymorph = 0.19 eV/f.u.
ΔH_f (0 K) = 0.069 eV per atom



# 4
Computed, not measured: a relaxed structure of CdIn5Pb7 at the PBE level of DFT.

a = 13.6974 Å, b = 9.8810 Å, c = 6.0612 Å
α = 90.00°, β = 105.43°, γ = 90.00°
Closest atoms and distances in Å follow each position.
Space group Cm (No. 8)
Asymmetric unit:
Cd1 0.0000 0.0000 0.0000 x2  3 In 3.11-3.48, 5 Pb 3.13-3.36
In1 0.1703 0.2167 0.1390 x4  2 In 3.11-3.22, 1 Cd 3.11, 3 Pb 3.35-3.40
In2 0.2079 0.0000 0.7725 x2  5 Pb 3.19-3.44, 4 In 3.22-3.48, 1 Cd 3.48
In3 0.2575 0.3295 0.6303 x4  2 In 3.11-3.37, 3 Pb 3.19-3.39
Pb1 0.0080 0.1883 0.5432 x4  3 In 3.30-3.61, 4 Pb 3.36-3.60, 1 Cd 3.36
Pb2 0.0832 0.5000 0.7928 x2  4 In 3.28-3.51, 6 Pb 3.34-3.47
Pb3 0.3089 0.5000 0.1894 x2  1 Cd 3.13, 4 In 3.35-3.39, 1 Pb 3.37
Pb4 0.3491 0.0000 0.4299 x2  3 In 3.19-3.37, 3 Pb 3.37-3.44
Pb5 0.4256 0.1782 0.0169 x4  3 In 3.19-3.44, 4 Pb 3.34-3.52, 1 Cd 3.35

Results
ΔH_f (0 K) = 0.055 eV per atom



# 5
Computed, not measured: a relaxed structure of Cd5In4Pb at the PBE level of DFT.

a = 3.3007 Å, b = 3.3007 Å, c = 23.5823 Å
α = 90.00°, β = 90.00°, γ = 90.00°
Closest atoms and distances in Å follow each position.
Space group P4/mmm (No. 123)
Asymmetric unit:
Cd1 0.0000 0.0000 0.0000 x1  8 In 3.28, 4 Cd 3.30
Cd2 0.0000 0.0000 0.1969 x2  8 In 3.28-3.31, 4 Cd 3.30
Cd3 0.0000 0.0000 0.3926 x2  4 In 3.28, 4 Cd 3.30, 4 Pb 3.44
In1 0.5000 0.5000 0.0975 x2  8 Cd 3.28-3.31, 4 In 3.30
In2 0.5000 0.5000 0.2945 x2  8 Cd 3.28, 4 In 3.30
Pb1 0.5000 0.5000 0.5000 x1  4 Pb 3.30, 8 Cd 3.44

Results
ΔH_f (0 K) = 0.027 eV per atom



# 6
Computed, not measured: a relaxed structure of Cd2In8Pb at the PBE level of DFT.

a = 9.7458 Å, b = 12.6835 Å, c = 5.0303 Å
α = 90.00°, β = 90.22°, γ = 90.00°
Closest atoms and distances in Å follow each position.
Space group C2/m (No. 12)
Asymmetric unit:
Cd1 0.0000 0.1170 0.0000 x4  1 Cd 2.97, 4 In 2.99-3.19
In1 0.0000 0.2438 0.5000 x4  2 Cd 2.99, 1 Pb 3.25
In2 0.1662 0.0000 0.4984 x4  7 In 3.24-3.49, 1 Pb 3.25, 4 Cd 3.33-3.35
In3 0.1739 0.3615 0.0015 x8  2 Cd 3.19-3.53, 7 In 3.19-3.51, 2 Pb 3.50-3.51
Pb1 0.0000 0.5000 0.5000 x2  12 In 3.25-3.51

Results
ΔH_f (0 K) = 0.071 eV per atom



# 7
Computed, not measured: a relaxed structure of CdIn15Pb4 at the PBE level of DFT.

a = 4.9902 Å, b = 4.9902 Å, c = 22.3827 Å
α = 90.00°, β = 90.00°, γ = 90.00°
Closest atoms and distances in Å follow each position.
Space group P4/mmm (No. 123)
Asymmetric unit:
Cd1 0.0000 0.0000 0.0000 x1  12 In 3.26-3.53
In1 0.0000 0.5000 0.0939 x4  2 Cd 3.26, 8 In 3.26-3.53, 2 Pb 3.39
In2 0.0000 0.5000 0.2974 x4  8 In 3.36-3.53, 4 Pb 3.37
In3 0.0000 0.5000 0.5000 x2  4 Pb 3.38, 8 In 3.38-3.53
In4 0.5000 0.5000 0.0000 x1  8 In 3.26, 4 Cd 3.53
In5 0.5000 0.5000 0.1964 x2  8 In 3.37-3.39, 4 Pb 3.53
In6 0.5000 0.5000 0.3982 x2  8 In 3.36-3.38, 4 Pb 3.53
Pb1 0.0000 0.0000 0.1961 x2  12 In 3.37-3.53
Pb2 0.0000 0.0000 0.3983 x2  12 In 3.37-3.53

Results
ΔH_f (0 K) = 0.025 eV per atom



# 8
Computed, not measured: a relaxed structure of CdInPb2 at the PBE level of DFT.

a = 4.6033 Å, b = 4.6033 Å, c = 22.7734 Å
α = 90.00°, β = 90.00°, γ = 90.00°
Closest atoms and distances in Å follow each position.
Space group I-42d (No. 122)
Asymmetric unit:
Cd1 0.0000 0.0000 0.0000 x4  4 In 3.26, 4 Pb 3.28
In1 0.0000 0.0000 0.5000 x4  4 Cd 3.26, 4 Pb 3.28
Pb1 0.2479 0.2500 0.1250 x8  4 Pb 3.24-3.27, 2 Cd 3.28, 2 In 3.28

Results
E above lowest polymorph = 0.31 eV/f.u.
ΔH_f (0 K) = 0.105 eV per atom



# 9
Computed, not measured: a relaxed structure of CdIn2Pb at the PBE level of DFT.

a = 8.5440 Å, b = 8.5440 Å, c = 6.3193 Å
α = 90.00°, β = 90.00°, γ = 90.00°
Closest atoms and distances in Å follow each position.
Space group I-42d (No. 122)
Asymmetric unit:
Cd1 0.0000 0.0000 0.0000 x4  4 In 3.02, 2 Pb 3.16
In1 0.2325 0.2500 0.1250 x8  2 Cd 3.02, 2 In 3.17, 2 Pb 3.23
Pb1 0.0000 0.0000 0.5000 x4  2 Cd 3.16, 4 In 3.23

Results
ΔH_f (0 K) = 0.107 eV per atom



# 10
Computed, not measured: a relaxed structure of Cd8In4Pb at the PBE level of DFT.

a = 11.0164 Å, b = 3.1980 Å, c = 18.5598 Å
α = 90.00°, β = 93.92°, γ = 90.00°
Closest atoms and distances in Å follow each position.
Space group Cm (No. 8)
Asymmetric unit:
Cd1 0.0000 0.0000 0.0000 x2  9 Cd 3.11-3.45, 3 In 3.23-3.41
Cd2 0.0411 0.5000 0.8562 x2  5 Cd 3.02-3.20, 4 In 3.11-3.28
Cd3 0.0919 0.0000 0.5205 x2  6 Cd 3.14-3.20, 3 Pb 3.33
Cd4 0.1506 0.5000 0.3781 x2  7 Cd 3.12-3.34, 5 In 3.30-3.43
Cd5 0.2190 0.5000 0.0709 x2  8 Cd 3.11-3.45, 4 In 3.27-3.29
Cd6 0.3076 0.0000 0.7614 x2  3 Cd 3.02-3.20, 4 In 3.04-3.29
Cd7 0.3753 0.0000 0.4431 x2  7 Cd 3.12-3.34, 2 In 3.25, 2 Pb 3.39
Cd8 0.4435 0.0000 0.1398 x2  7 Cd 3.14-3.37, 5 In 3.31-3.39
In1 0.0733 0.5000 0.6909 x2  4 Cd 3.11-3.29, 2 In 3.20, 3 Pb 3.39-3.46
In2 0.1785 0.0000 0.2225 x2  5 In 3.20-3.30, 7 Cd 3.29-3.39
In3 0.2725 0.0000 0.9227 x2  8 Cd 3.04-3.28, 2 In 3.20
In4 0.4193 0.5000 0.2946 x2  5 In 3.20-3.30, 7 Cd 3.25-3.43
Pb1 0.3302 0.5000 0.6003 x2  2 Pb 3.20, 7 Cd 3.33-3.42, 3 In 3.39-3.46

Results
ΔH_f (0 K) = 0.037 eV per atom



# 11
Computed, not measured: a relaxed structure of Cd2In8Pb3 at the PBE level of DFT.

a = 5.1766 Å, b = 7.9782 Å, c = 9.7205 Å
α = 112.60°, β = 90.00°, γ = 90.01°
Closest atoms and distances in Å follow each position.
Space group P-1 (No. 2)
Asymmetric unit:
Cd1 0.0009 0.3008 0.4265 x2  1 Cd 2.94, 5 In 3.03-3.10
In1 0.0000 0.1090 0.6786 x2  2 Cd 3.03-3.35, 2 In 3.23-3.24, 2 Pb 3.36-3.37
In2 0.9997 0.4531 0.1555 x2  6 In 3.24-3.57, 1 Cd 3.30, 3 Pb 3.34-3.43
In3 0.4993 0.6501 0.3861 x2  2 Cd 3.10, 1 Pb 3.29, 6 In 3.31-3.43
In4 0.4994 0.7994 0.7588 x2  2 Cd 3.08, 2 In 3.31-3.35, 3 Pb 3.37-3.44
Pb1 0.0000 0.0000 0.0000 x1  8 In 3.34-3.55, 4 Pb 3.59
Pb2 0.4998 0.2583 0.9159 x2  7 In 3.29-3.43, 3 Pb 3.56-3.59

Results
ΔH_f (0 K) = 0.048 eV per atom



# 12
Computed, not measured: a relaxed structure of Cd3In12Pb at the PBE level of DFT.

a = 4.8299 Å, b = 4.8299 Å, c = 18.2552 Å
α = 90.00°, β = 90.00°, γ = 90.00°
Closest atoms and distances in Å follow each position.
Space group P4/mmm (No. 123)
Asymmetric unit:
Cd1 0.0000 0.0000 0.0000 x1  12 In 3.30-3.42
Cd2 0.0000 0.0000 0.2455 x2  12 In 3.29-3.42
In1 0.0000 0.5000 0.1233 x4  8 In 3.28-3.42, 4 Cd 3.29-3.30
In2 0.0000 0.5000 0.3686 x4  2 Cd 3.30, 8 In 3.31-3.42, 2 Pb 3.40
In3 0.5000 0.5000 0.0000 x1  8 In 3.30, 4 Cd 3.42
In4 0.5000 0.5000 0.2450 x2  8 In 3.28-3.31, 4 Cd 3.42
In5 0.5000 0.5000 0.5000 x1  8 In 3.40, 4 Pb 3.42
Pb1 0.0000 0.0000 0.5000 x1  12 In 3.40-3.42

Results
ΔH_f (0 K) = 0.030 eV per atom